First-principles (PBE with a Hubbard U) data for an optimized crystal structure of Nd2FeNiO6, as listed in Alexandria.

a = 5.580 Å, b = 5.416 Å, c = 9.492 Å
α = 54.76°, β = 90.00°, γ = 90.00°
Site moments in Bohr magnetons follow the coordinates.
Atoms (fractional coordinates):
Nd1 0.947 0.238 0.750  0.01
Nd2 0.447 0.762 0.750  0.01
Nd3 0.053 0.762 0.250  0.01
Nd4 0.553 0.238 0.250  0.01
Fe1 0.000 0.500 0.000  2.63
Fe2 0.500 0.500 0.500  2.63
Ni1 0.000 0.000 0.500  1.66
Ni2 0.500 0.000 0.000  1.66
O1 0.521 0.339 0.744  -0.06
O2 0.021 0.661 0.756  -0.06
O3 0.479 0.661 0.256  -0.06
O4 0.979 0.339 0.244  -0.06
O5 0.700 0.176 0.542  -0.03
O6 0.200 0.824 0.958  -0.03
O7 0.286 0.251 0.047  -0.06
O8 0.786 0.749 0.453  -0.06
O9 0.300 0.824 0.458  -0.03
O10 0.800 0.176 0.042  -0.03
O11 0.714 0.749 0.953  -0.06
O12 0.214 0.251 0.547  -0.06

Calculated values
Raw total energy (eV/atom): -6.986
Calculated volume (Å³ per atom): 11.72
Space group: No. 14
Total moment (μB/f.u.): 4.0